(1)
# PBE Sr2Sn2Bi, relaxed
data_Sr2Sn2Bi
_symmetry_space_group_name_H-M 'P 1'
_symmetry_Int_Tables_number 1
_symmetry_space_group_name_Hall 'P 1'
_cell_length_a 8.356
_cell_length_b 8.356
_cell_length_c 4.868
_cell_angle_alpha 90.00
_cell_angle_beta 90.00
_cell_angle_gamma 90.00
loop_
_atom_site_label
_atom_site_type_symbol
_atom_site_fract_x
_atom_site_fract_y
_atom_site_fract_z
_atom_site_occupancy
Sr1 Sr 0.676 0.824 0.500 1
Sr2 Sr 0.176 0.676 0.500 1
Sr3 Sr 0.324 0.176 0.500 1
Sr4 Sr 0.824 0.324 0.500 1
Sn1 Sn 0.123 0.377 0.000 1
Sn2 Sn 0.877 0.623 0.000 1
Sn3 Sn 0.623 0.123 0.000 1
Sn4 Sn 0.377 0.877 0.000 1
Bi1 Bi 0.000 0.000 0.000 1
Bi2 Bi 0.500 0.500 0.000 1
# ΔE to the lowest computed polymorph (meV/atom): 0
# Energy (eV/atom): -3.667

***

(2)
# PBE ReSi2Ni, relaxed
data_ReSi2Ni
_symmetry_space_group_name_H-M 'P 1'
_symmetry_Int_Tables_number 1
_symmetry_space_group_name_Hall 'P 1'
_cell_length_a 4.825
_cell_length_b 4.845
_cell_length_c 2.776
_cell_angle_alpha 73.62
_cell_angle_beta 89.48
_cell_angle_gamma 119.70
loop_
_atom_site_label
_atom_site_type_symbol
_atom_site_fract_x
_atom_site_fract_y
_atom_site_fract_z
_atom_site_occupancy
Si1 Si 0.000 0.000 0.000 1
Si2 Si 0.500 0.000 0.500 1
Ni1 Ni 0.000 0.500 0.500 1
Re1 Re 0.500 0.500 0.000 1
# Energy (eV/atom): -7.238

***

Number 1: magnetization 0.0 μB/cell, DOS(E_F) 2.87 states/eV per cell. Number 2: magnetization 0.0 μB/cell, DOS(E_F) 2.51 states/eV per cell.